VASP calculation (PBE) on an optimized crystal structure of Sr2LaTlPt.

a = 6.262 Å, b = 5.731 Å, c = 6.262 Å
α = 90.00°, β = 90.00°, γ = 90.00°
Positions (direct):
La: 0.000 0.000 0.000
Sr: 0.000 0.000 0.500
Sr: 0.500 0.000 0.000
Tl: 0.000 0.500 0.000
Pt: 0.500 0.500 0.500

Summary:
DOS(E_F) in states/eV/atom: 1.35
V in A^3/atom: 44.9
Formation energy in eV/atom: 1.09
Energy above the lowest structure with this stoichiometry in meV per atom: 1553.9

=====

VASP calculation (PBE) on an optimized crystal structure of Sr2LaTlPt.

a = 5.928 Å, b = 5.928 Å, c = 5.556 Å
α = 90.00°, β = 90.00°, γ = 90.00°
Positions (direct):
Sr: 0.500 0.000 0.000
Sr: 0.000 0.500 0.000
La: 0.000 0.000 0.500
Pt: 0.000 0.000 0.000
Tl: 0.500 0.500 0.500

Summary:
DOS(E_F) in states/eV/atom: 1.07
V in A^3/atom: 39.1
Formation energy in eV/atom: -0.46
Energy above the lowest structure with this stoichiometry in meV per atom: 0.0

=====

Look up the formation energy of the first one. 1.09 eV/atom

=====

Which value of energy above the lowest structure with this stoichiometry does entry 1 give? 1553.9 meV per atom

=====

What is the formula in the first record? Sr2LaTlPt